Record 1
Computed, not measured: ZnCdAu at its PBEsol-relaxed geometry at the meta-GGA SCAN level of DFT.

Results
**Spin magnetization**: 0.00 μB/cell
**Energy of formation**: -0.498 eV/f.u.
**Theoretical density**: 10.3 g/cm3
**Offset from the most stable computed form**: 0.0000 eV per atom

Structure (CIF):
```
data_ZnCdAu
_cell_length_a 6.2355
_cell_length_b 6.2355
_cell_length_c 6.2355
_cell_angle_alpha 90.00
_cell_angle_beta 90.00
_cell_angle_gamma 90.00
_symmetry_space_group_name_H-M 'F -4 3 m'
_symmetry_Int_Tables_number 216
_symmetry_space_group_name_Hall 'F -4 2 3'
loop_
_atom_site_label
_atom_site_type_symbol
_atom_site_fract_x
_atom_site_fract_y
_atom_site_fract_z
Zn1 Zn 0.0000 0.0000 0.0000
Cd1 Cd 0.0000 0.0000 0.5000
Au1 Au 0.2500 0.2500 0.7500
```

Record 2
Computed, not measured: ZnCdAu2 at its PBEsol-relaxed geometry at the meta-GGA SCAN level of DFT.

Results
**Spin magnetization**: 0.00 μB/cell
**Energy of formation**: -0.783 eV/f.u.
**Theoretical density**: 14.1 g/cm3

Structure (CIF):
```
data_ZnCdAu2
_cell_length_a 4.2837
_cell_length_b 4.2837
_cell_length_c 7.3304
_cell_angle_alpha 90.00
_cell_angle_beta 90.00
_cell_angle_gamma 90.00
_symmetry_space_group_name_H-M 'I 4/m m m'
_symmetry_Int_Tables_number 139
_symmetry_space_group_name_Hall '-I 4 2'
loop_
_atom_site_label
_atom_site_type_symbol
_atom_site_fract_x
_atom_site_fract_y
_atom_site_fract_z
Zn1 Zn 0.0000 0.0000 0.0000
Cd1 Cd 0.0000 0.0000 0.5000
Au1 Au 0.0000 0.5000 0.2500
```

Record 3
Computed, not measured: ZnCd2Au at its PBEsol-relaxed geometry at the meta-GGA SCAN level of DFT.

Results
**Spin magnetization**: 0.00 μB/cell
**Energy of formation**: -0.377 eV/f.u.
**Theoretical density**: 11.2 g/cm3

Structure (CIF):
```
data_ZnCd2Au
_cell_length_a 3.4043
_cell_length_b 3.7016
_cell_length_c 5.7165
_cell_angle_alpha 90.00
_cell_angle_beta 90.00
_cell_angle_gamma 90.00
_symmetry_space_group_name_H-M 'P m m m'
_symmetry_Int_Tables_number 47
loop_
_symmetry_equiv_pos_as_xyz
'x,y,z'
'-x,-y,-z'
'-x,-y,z'
'x,y,-z'
'x,-y,-z'
'-x,y,z'
'-x,y,-z'
'x,-y,z'
loop_
_atom_site_label
_atom_site_type_symbol
_atom_site_fract_x
_atom_site_fract_y
_atom_site_fract_z
Zn1 Zn 0.0000 0.0000 0.0000
Cd1 Cd 0.5000 0.5000 0.2475
Au1 Au 0.0000 0.0000 0.5000
```

Record 4
Computed, not measured: ZnCd2Au at its PBEsol-relaxed geometry at the meta-GGA SCAN level of DFT.

Results
**Spin magnetization**: 0.00 μB/cell
**Energy of formation**: -0.370 eV/f.u.
**Theoretical density**: 11.5 g/cm3

Structure (CIF):
```
data_ZnCd2Au
_cell_length_a 4.1283
_cell_length_b 4.1283
_cell_length_c 8.2735
_cell_angle_alpha 90.00
_cell_angle_beta 90.00
_cell_angle_gamma 90.00
_symmetry_space_group_name_H-M 'I 4/m m m'
_symmetry_Int_Tables_number 139
_symmetry_space_group_name_Hall '-I 4 2'
loop_
_atom_site_label
_atom_site_type_symbol
_atom_site_fract_x
_atom_site_fract_y
_atom_site_fract_z
Zn1 Zn 0.0000 0.0000 0.0000
Cd1 Cd 0.0000 0.5000 0.2500
Au1 Au 0.0000 0.0000 0.5000
```

Record 5
Computed, not measured: ZrCdAu2 at its PBEsol-relaxed geometry at the meta-GGA SCAN level of DFT.

Results
**Spin magnetization**: 0.00 μB/cell
**Energy of formation**: -2.248 eV/f.u.
**Theoretical density**: 13.3 g/cm3

Structure (CIF):
```
data_ZrCdAu2
_cell_length_a 3.0277
_cell_length_b 3.3006
_cell_length_c 7.4665
_cell_angle_alpha 90.00
_cell_angle_beta 90.00
_cell_angle_gamma 90.00
_symmetry_space_group_name_H-M 'P m m m'
_symmetry_Int_Tables_number 47
loop_
_symmetry_equiv_pos_as_xyz
'x,y,z'
'-x,-y,-z'
'-x,-y,z'
'x,y,-z'
'x,-y,-z'
'-x,y,z'
'-x,y,-z'
'x,-y,z'
loop_
_atom_site_label
_atom_site_type_symbol
_atom_site_fract_x
_atom_site_fract_y
_atom_site_fract_z
Zr1 Zr 0.0000 0.0000 0.0000
Cd1 Cd 0.0000 0.0000 0.5000
Au1 Au 0.5000 0.5000 0.2487
```

Record 6
Computed, not measured: ZrCdAu2 at its PBEsol-relaxed geometry at the meta-GGA SCAN level of DFT.

Results
**Spin magnetization**: 0.00 μB/cell
**Energy of formation**: -1.848 eV/f.u.
**Theoretical density**: 13.2 g/cm3

Structure (CIF):
```
data_ZrCdAu2
_cell_length_a 6.8606
_cell_length_b 6.8801
_cell_length_c 3.1962
_cell_angle_alpha 90.00
_cell_angle_beta 90.00
_cell_angle_gamma 90.00
_symmetry_space_group_name_H-M 'C m m m'
_symmetry_Int_Tables_number 65
_symmetry_space_group_name_Hall '-C 2 2'
loop_
_atom_site_label
_atom_site_type_symbol
_atom_site_fract_x
_atom_site_fract_y
_atom_site_fract_z
Zr1 Zr 0.0000 0.0000 0.0000
Cd1 Cd 0.0000 0.5000 0.0000
Au1 Au 0.2500 0.2500 0.5000
```

Record 7
Computed, not measured: CeAu at its PBEsol-relaxed geometry at the meta-GGA SCAN level of DFT.

Results
**Spin magnetization**: 4.27 μB/cell
**Energy of formation**: -1.778 eV/f.u.
**Theoretical density**: 11.4 g/cm3

Structure (CIF):
```
data_CeAu
_cell_length_a 3.7778
_cell_length_b 11.2340
_cell_length_c 4.6253
_cell_angle_alpha 90.00
_cell_angle_beta 90.00
_cell_angle_gamma 90.00
_symmetry_space_group_name_H-M 'C m c m'
_symmetry_Int_Tables_number 63
_symmetry_space_group_name_Hall '-C 2c 2'
loop_
_atom_site_label
_atom_site_type_symbol
_atom_site_fract_x
_atom_site_fract_y
_atom_site_fract_z
Ce1 Ce 0.0000 0.1407 0.2500
Au1 Au 0.0000 0.4161 0.2500
```

Record 8
Computed, not measured: CeHgAu2 at its PBEsol-relaxed geometry at the meta-GGA SCAN level of DFT.

Results
**Spin magnetization**: 4.59 μB/cell
**Energy of formation**: -2.644 eV/f.u.
**Theoretical density**: 14.5 g/cm3

Structure (CIF):
```
data_CeHgAu2
_cell_length_a 6.9624
_cell_length_b 6.9624
_cell_length_c 6.9624
_cell_angle_alpha 90.00
_cell_angle_beta 90.00
_cell_angle_gamma 90.00
_symmetry_space_group_name_H-M 'F m -3 m'
_symmetry_Int_Tables_number 225
_symmetry_space_group_name_Hall '-F 4 2 3'
loop_
_atom_site_label
_atom_site_type_symbol
_atom_site_fract_x
_atom_site_fract_y
_atom_site_fract_z
Ce1 Ce 0.0000 0.0000 0.0000
Hg1 Hg 0.0000 0.0000 0.5000
Au1 Au 0.2500 0.2500 0.2500
```